The following is a DFT calculation (PBE) of a relaxed CoPd crystal.

energy relative to the elements = 1.110 eV/atom
electronic total energy = -0.185 Ha/atom

Cell and atoms, written as POSCAR:
```
CoPd
1.0
3.828 0.000 0.000
-1.914 3.316 0.000
0.000 0.000 6.230
Co Pd
2 2
Direct
0.333 0.667 0.000
0.667 0.333 0.500
0.333 0.667 0.377
0.667 0.333 0.877
```

---

The following is a DFT calculation (PBE) of a relaxed CoPd crystal.

energy relative to the elements = 1.110 eV/atom
electronic total energy = -0.185 Ha/atom

Cell and atoms, written as POSCAR:
```
CoPd
1.0
0.000 2.701 2.701
2.701 0.000 2.701
2.701 2.701 0.000
Co Pd
1 1
Direct
0.000 0.000 0.000
0.750 0.750 0.750
```

---

The following is a DFT calculation (PBE) of a relaxed CoPd2 crystal.

energy relative to the elements = 0.504 eV/atom
electronic total energy = -0.195 Ha/atom

Cell and atoms, written as POSCAR:
```
CoPd2
1.0
0.000 3.612 3.612
3.612 0.000 3.612
3.612 3.612 0.000
Co Pd
2 4
Direct
0.125 0.125 0.125
0.875 0.875 0.875
0.000 0.500 0.500
0.500 0.000 0.500
0.500 0.500 0.000
0.500 0.500 0.500
```

---

Among the records above, which one has the lowest electronic total energy? CoPd2